First-principles (PBE) data for a relaxed structure of Gd3Co, as listed in OQMD.

a = 7.1331 Å, b = 7.1331 Å, c = 4.5143 Å
α = 90.00°, β = 90.00°, γ = 120.00°
Atoms (fractional coordinates):
Gd 0.1855 0.3710 0.2500
Gd 0.1855 0.8145 0.2500
Gd 0.3710 0.1855 0.7500
Gd 0.6290 0.8145 0.2500
Gd 0.8145 0.1855 0.7500
Gd 0.8145 0.6290 0.7500
Co 0.3333 0.6667 0.7500
Co 0.6667 0.3333 0.2500

Computed properties:
E_form (eV/atom): 0.167



First-principles (PBE) data for a relaxed structure of LuTlNi, as listed in OQMD.

a = 6.4215 Å, b = 6.4215 Å, c = 6.4215 Å
α = 90.00°, β = 90.00°, γ = 90.00°
Atoms (fractional coordinates):
Lu 0.0000 0.0000 0.0000
Lu 0.0000 0.5000 0.5000
Lu 0.5000 0.0000 0.5000
Lu 0.5000 0.5000 0.0000
Tl 0.0000 0.0000 0.5000
Tl 0.0000 0.5000 0.0000
Tl 0.5000 0.0000 0.0000
Tl 0.5000 0.5000 0.5000
Ni 0.2500 0.2500 0.2500
Ni 0.2500 0.7500 0.7500
Ni 0.7500 0.2500 0.7500
Ni 0.7500 0.7500 0.2500

Computed properties:
Energy above the lowest structure with this stoichiometry (eV/atom): 0.000



First-principles (PBE) data for a relaxed structure of LiTaFePb, as listed in OQMD.

a = 6.2336 Å, b = 6.2336 Å, c = 6.2336 Å
α = 90.00°, β = 90.00°, γ = 90.00°
Atoms (fractional coordinates):
Li 0.0000 0.0000 0.0000
Li 0.0000 0.5000 0.5000
Li 0.5000 0.0000 0.5000
Li 0.5000 0.5000 0.0000
Ta 0.2500 0.2500 0.7500
Ta 0.2500 0.7500 0.2500
Ta 0.7500 0.2500 0.2500
Ta 0.7500 0.7500 0.7500
Fe 0.0000 0.0000 0.5000
Fe 0.0000 0.5000 0.0000
Fe 0.5000 0.0000 0.0000
Fe 0.5000 0.5000 0.5000
Pb 0.2500 0.2500 0.2500
Pb 0.2500 0.7500 0.7500
Pb 0.7500 0.2500 0.7500
Pb 0.7500 0.7500 0.2500

Computed properties:
Energy above the lowest structure with this stoichiometry (eV/atom): 0.000



First-principles (PBE) data for a relaxed structure of TcGePO, as listed in OQMD.

a = 4.1697 Å, b = 4.1697 Å, c = 5.9092 Å
α = 90.00°, β = 90.00°, γ = 90.00°
Atoms (fractional coordinates):
Tc 0.2500 0.2500 0.1651
Tc 0.7500 0.7500 0.8349
Ge 0.2500 0.7500 0.5000
Ge 0.7500 0.2500 0.5000
P 0.2500 0.2500 0.7613
P 0.7500 0.7500 0.2387
O 0.2500 0.7500 0.0000
O 0.7500 0.2500 0.0000

Computed properties:
Energy above the lowest structure with this stoichiometry (eV/atom): 0.712



Asked for size of the total moment across the records above, the calculation gives 0.01, 0.04, 0.02, 0.02 Bohr magnetons per cell in order.